No. 1
## LiHoScSi (PBE)

Data for crystalline LiHoScSi at its relaxed geometry.

Results
The calculation puts the density of states at the Fermi level at 0.5780 states/eV/atom. For the uncorrected energy, the calculation gives -4.94 eV/atom. As for the total magnetization: 0.00 μB/atom. As for the uncorrected formation energy: -0.38 eV per atom. The space-group type is No. 216.

Cell: 6.786 6.786 6.786 Å, 90.00 90.00 90.00°
Fractional positions:
Li 0.000 0.000 0.000
Li 0.000 0.500 0.500
Li 0.500 0.000 0.500
Li 0.500 0.500 0.000
Ho 0.250 0.250 0.250
Ho 0.250 0.750 0.750
Ho 0.750 0.250 0.750
Ho 0.750 0.750 0.250
Sc 0.250 0.250 0.750
Sc 0.250 0.750 0.250
Sc 0.750 0.250 0.250
Sc 0.750 0.750 0.750
Si 0.000 0.000 0.500
Si 0.000 0.500 0.000
Si 0.500 0.000 0.000
Si 0.500 0.500 0.500

---

No. 2
## PrScHg3 (PBE)

Data for crystalline PrScHg3 at its relaxed geometry.

Results
The energy of formation from the pure elements comes out at -0.399 eV/atom. The calculation puts the density of states at the Fermi level at 0.8768 states/eV/atom. For the uncorrected energy, the calculation gives -2.80 eV/atom. As for the total magnetization: 0.04 μB/atom. The space-group type is No. 63.

Cell: 14.613 14.613 4.910 Å, 90.00 90.00 166.35°
Fractional positions:
Pr 0.078 0.922 0.750
Pr 0.922 0.078 0.250
Sc 0.212 0.788 0.250
Sc 0.788 0.212 0.750
Hg 0.312 0.688 0.250
Hg 0.372 0.628 0.750
Hg 0.474 0.526 0.750
Hg 0.526 0.474 0.250
Hg 0.628 0.372 0.250
Hg 0.688 0.312 0.750